Version A
First-principles (PBE) data for a geometry-optimized HgBiCl structure, as listed in the Alexandria database.

Calculated values
- DOS(E_F): 0.396 states/eV per atom
- Total magnetization: 0.000 μB per cell

Cell lengths 5.1972, 5.1972, 3.4548 Å; angles 90.00, 90.00, 120.00 degrees
Closest atoms and distances in Å follow each position.
Fractional coordinates of all 3 atoms:
Hg 0.0000 0.0000 0.0000  6 Bi 3.41-3.52, 6 Cl 3.44-3.48, 2 Hg 3.45
Bi 0.6667 0.3333 0.5334  3 Cl 3.00
Cl 0.3333 0.6667 0.5125  3 Bi 3.00

Version B
First-principles (PBE) data for a geometry-optimized HgBiCl structure, as listed in the Alexandria database.

Calculated values
- DOS(E_F): 0.183 states/eV per atom
- Total magnetization: 0.000 μB per cell

Cell lengths 4.4650, 5.4581, 9.2563 Å; angles 73.15, 81.76, 89.87 degrees
Closest atoms and distances in Å follow each position.
Fractional coordinates of all 6 atoms:
Hg 0.0000 0.0000 0.0000  2 Hg 3.16-3.17, 1 Bi 3.45
Hg 0.2747 0.5664 0.8622  2 Hg 3.16-3.17, 1 Bi 3.45
Bi 0.4248 0.8429 0.3073  2 Cl 2.77
Bi 0.8485 0.7200 0.5550  2 Cl 2.77
Cl 0.4446 0.3702 0.2529  2 Bi 2.77
Cl 0.8280 0.1933 0.6097  2 Bi 2.77

The structure with the least stability is version A.

Version A
First-principles (PBE) data for a geometry-optimized HgBiCl structure, as listed in the Alexandria database.

Calculated values
- DOS(E_F): 0.207 states/eV per atom
- Total magnetization: 0.000 μB per cell

Cell lengths 3.4639, 5.4297, 10.6773 Å; angles 104.62, 96.29, 91.21 degrees
Closest atoms and distances in Å follow each position.
Fractional coordinates of all 6 atoms:
Hg 0.2318 0.2321 0.4643  6 Hg 3.25-3.46, 1 Bi 3.54, 1 Cl 3.57
Hg 0.7682 0.7679 0.5357  6 Hg 3.25-3.46, 1 Bi 3.54, 1 Cl 3.57
Bi 0.4438 0.9224 0.8481  2 Cl 2.74
Bi 0.5562 0.0776 0.1519  2 Cl 2.74
Cl 0.4090 0.4044 0.8120  2 Bi 2.74
Cl 0.5910 0.5956 0.1880  2 Bi 2.74

Version B
First-principles (PBE) data for a geometry-optimized HgBiCl structure, as listed in the Alexandria database.

Calculated values
- Total magnetization: 0.000 μB per cell

Cell lengths 6.5645, 4.4534, 7.3734 Å; angles 90.00, 102.94, 90.00 degrees
Closest atoms and distances in Å follow each position.
Fractional coordinates of all 6 atoms:
Hg 0.0000 0.0000 0.0000  1 Cl 3.01, 1 Bi 3.15
Hg 0.3598 0.5000 0.8887  1 Cl 2.51, 1 Bi 2.79
Bi 0.3676 0.0000 0.3572  1 Cl 2.64
Bi 0.6379 0.5000 0.2354  1 Hg 2.79, 2 Bi 3.10
Cl 0.1100 0.5000 0.5769  1 Hg 2.51
Cl 0.6086 0.0000 0.6957  1 Bi 2.64

The structure with the least stability is version A.